<P>
CaMg3I: relaxed, PBE-GGA.

Properties
**Total magnetic moment**: 0.000 μB per atom
**Space group**: Pm-3m
**Mass density**: 1.537 Mg/m³

Geometry as extended XYZ:
```
5
Lattice="-5.306 3.463 -0.706 -2.239 -2.309 5.504 2.734 4.829 3.138" Properties=species:S:1:pos:R:3 pbc="T T T"
Mg 1.367 2.415 1.569
I -2.406 2.991 3.968
Mg -2.653 1.731 -0.353
Ca 0.000 0.000 0.000
Mg -1.120 -1.155 2.752
```

***

<Q>
CaMg3I: relaxed, PBE-GGA.

Properties
**Total magnetic moment**: 0.000 μB per atom
**Space group**: Pm-3m
**Mass density**: 2.087 Mg/m³

Geometry as extended XYZ:
```
5
Lattice="-5.718 0.456 0.492 0.091 -3.658 4.445 0.665 4.422 3.626" Properties=species:S:1:pos:R:3 pbc="T T T"
Ca -2.481 0.610 4.282
Mg 0.045 -1.829 2.222
I 0.000 0.000 0.000
Mg -2.859 0.228 0.246
Mg 0.333 2.211 1.813
```

***

Short version: <Q> is the most stable of them.

***

<P>
CaMgI2O: relaxed, PBE-GGA.

Properties
**Total magnetic moment**: 0.000 μB per atom
**Space group**: P4/mmm
**Mass density**: 4.230 Mg/m³

Geometry as extended XYZ:
```
5
Lattice="5.834 0.000 0.000 0.000 5.834 0.000 0.000 0.000 3.854" Properties=species:S:1:pos:R:3 pbc="T T T"
Ca 2.917 2.917 1.927
I 0.000 2.917 0.000
Mg 0.000 0.000 0.000
I 2.917 0.000 0.000
O 0.000 0.000 1.927
```

***

<Q>
CaMgI2O: relaxed, PBE-GGA.

Properties
**Total magnetic moment**: 0.006 μB per atom
**Space group**: P4/mmm
**Mass density**: 3.560 Mg/m³

Geometry as extended XYZ:
```
5
Lattice="6.122 0.000 0.000 0.000 6.122 0.000 0.000 0.000 4.159" Properties=species:S:1:pos:R:3 pbc="T T T"
O 0.000 0.000 2.079
I 0.000 3.061 0.000
I 3.061 0.000 0.000
Ca 0.000 0.000 0.000
Mg 3.061 3.061 2.079
```

***

Short version: <P> is the most stable of them.

***

<P>
CaMgIO2: relaxed, PBE-GGA.

Properties
**Total magnetic moment**: 0.000 μB per atom
**Space group**: P4/mmm
**Mass density**: 3.824 Mg/m³

Geometry as extended XYZ:
```
5
Lattice="4.197 0.000 0.000 0.000 4.197 0.000 0.000 0.000 5.505" Properties=species:S:1:pos:R:3 pbc="T T T"
I 0.000 0.000 2.753
O 0.000 2.098 0.000
Ca 2.098 2.098 2.753
O 2.098 0.000 0.000
Mg 0.000 0.000 0.000
```

***

<Q>
CaMgIO2: relaxed, PBE-GGA.

Properties
**Total magnetic moment**: 0.000 μB per atom
**Space group**: P4/mmm
**Mass density**: 3.210 Mg/m³

Geometry as extended XYZ:
```
5
Lattice="4.370 0.000 0.000 0.000 4.370 0.000 0.000 0.000 6.048" Properties=species:S:1:pos:R:3 pbc="T T T"
Mg 2.185 2.185 3.024
O 0.000 2.185 0.000
O 2.185 0.000 0.000
I 0.000 0.000 3.024
Ca 0.000 0.000 0.000
```

***

Short version: <P> is the most stable of them.

***

<P>
CaMgTeI2: relaxed, PBE-GGA.

Properties
**Total magnetic moment**: 0.000 μB per atom
**Space group**: P4/mmm
**Mass density**: 3.427 Mg/m³

Geometry as extended XYZ:
```
5
Lattice="-4.036 3.793 1.984 -3.352 -4.496 1.777 2.824 0.094 5.565" Properties=species:S:1:pos:R:3 pbc="T T T"
Ca 0.000 0.000 0.000
I -1.676 -2.248 0.889
Mg -2.282 -0.305 4.663
I -2.018 1.896 0.992
Te 1.412 0.047 2.782
```

***

<Q>
CaMgTeI2: relaxed, PBE-GGA.

Properties
**Total magnetic moment**: 0.000 μB per atom
**Space group**: P4/mmm
**Mass density**: 4.102 Mg/m³

Geometry as extended XYZ:
```
5
Lattice="-1.789 0.087 -5.258 0.674 -5.504 -0.321 -5.492 -0.780 1.855" Properties=species:S:1:pos:R:3 pbc="T T T"
Mg 0.000 0.000 0.000
Ca -3.303 -3.098 -1.861
I -0.894 0.044 -2.629
Te -2.746 -0.390 0.928
I 0.337 -2.752 -0.160
```

***

Short version: <Q> is the most stable of them.

***

<P>
CaMnI2: relaxed, PBE-GGA.

Properties
**Total magnetic moment**: 0.773 μB per atom
**Space group**: I-42d
**Mass density**: 3.982 Mg/m³

Geometry as extended XYZ:
```
8
Lattice="-0.141 -4.946 4.073 6.247 -1.012 -1.012 4.627 1.384 6.884" Properties=species:S:1:pos:R:3 pbc="T T T"
I 1.841 -3.147 4.367
I 5.051 -0.629 1.371
Mn 0.000 0.000 0.000
Ca 3.053 -2.979 1.530
Ca 6.964 -1.304 3.701
I 5.412 -1.140 6.367
I 9.161 -4.232 7.785
Mn 3.769 -3.271 6.244
```

***

<Q>
CaMnI2: relaxed, PBE-GGA.

Properties
**Total magnetic moment**: 1.246 μB per atom
**Space group**: Fm-3m
**Mass density**: 4.874 Mg/m³

Geometry as extended XYZ:
```
4
Lattice="1.128 2.748 4.651 -4.009 0.993 3.660 -0.031 -2.644 4.844" Properties=species:S:1:pos:R:3 pbc="T T T"
I -2.184 0.822 9.866
Mn -1.456 0.548 6.577
Ca 0.000 0.000 0.000
I -0.728 0.274 3.289
```

***

Short version: <Q> is the most stable of them.